Entry 1:
The following is a DFT calculation (PBEsol) of MoRuPt2 after structural relaxation.

Values from the calculation:
- DFT total energy: -9.16 eV per atom
- Spin magnetization: 0.0 Bohr magnetons per cell
- Energy above the most stable polymorph in this dataset: 0 meV/atom
- Energy relative to the elements: -0.1945 eV/atom

abc: 3.889 3.889 4.717
angles: 114.35 114.35 90.00
Atoms (fractional coordinates):
1 Ru 0.000 0.000 0.000
2 Mo 0.250 0.750 0.500
3 Pt 0.500 0.500 0.000
4 Pt 0.750 0.250 0.500

Entry 2:
The following is a DFT calculation (PBEsol) of LuNi2Ge2 after structural relaxation.

Values from the calculation:
- DFT total energy: -6.12 eV per atom
- Spin magnetization: 0.0 Bohr magnetons per cell
- Energy relative to the elements: -0.7031 eV/atom

abc: 3.965 3.965 5.571
angles: 110.84 110.84 90.00
Atoms (fractional coordinates):
1 Ni 0.750 0.250 0.500
2 Ni 0.250 0.750 0.500
3 Ge 0.373 0.373 0.747
4 Ge 0.627 0.627 0.253
5 Lu 0.000 0.000 0.000

Entry 3:
The following is a DFT calculation (PBEsol) of KH8O4F after structural relaxation.

Values from the calculation:
- DFT total energy: -4.91 eV per atom
- Spin magnetization: 0.3 Bohr magnetons per cell

abc: 6.556 6.692 13.050
angles: 90.00 90.00 90.26
Atoms (fractional coordinates):
1 K 0.003 0.330 0.371
2 K 0.497 0.670 0.871
3 K 0.997 0.670 0.629
4 K 0.503 0.330 0.129
5 H 0.982 0.358 0.130
6 H 0.518 0.642 0.630
7 H 0.018 0.642 0.870
8 H 0.482 0.358 0.370
9 H 0.437 0.583 0.339
10 H 0.063 0.417 0.839
11 H 0.563 0.417 0.661
12 H 0.937 0.583 0.161
13 H 0.267 0.903 0.332
14 H 0.233 0.097 0.832
15 H 0.733 0.097 0.668
16 H 0.767 0.903 0.168
17 H 0.094 0.896 0.246
18 H 0.406 0.104 0.746
19 H 0.906 0.104 0.754
20 H 0.594 0.896 0.254
21 H 0.973 0.800 0.390
22 H 0.527 0.200 0.890
23 H 0.027 0.200 0.610
24 H 0.473 0.800 0.110
25 H 0.243 0.745 0.090
26 H 0.257 0.255 0.590
27 H 0.757 0.255 0.910
28 H 0.743 0.745 0.410
29 H 0.416 0.806 0.491
30 H 0.084 0.194 0.991
31 H 0.584 0.194 0.509
32 H 0.916 0.806 0.009
33 H 0.081 0.059 0.090
34 H 0.419 0.941 0.590
35 H 0.919 0.941 0.910
36 H 0.581 0.059 0.410
37 O 0.394 0.444 0.325
38 O 0.106 0.556 0.825
39 O 0.606 0.556 0.675
40 O 0.894 0.444 0.175
41 O 0.125 0.945 0.317
42 O 0.375 0.055 0.817
43 O 0.875 0.055 0.683
44 O 0.625 0.945 0.183
45 O 0.383 0.706 0.071
46 O 0.117 0.294 0.571
47 O 0.617 0.294 0.929
48 O 0.883 0.706 0.429
49 O 0.123 0.193 0.065
50 O 0.377 0.807 0.565
51 O 0.877 0.807 0.935
52 O 0.623 0.193 0.435
53 F 0.501 0.834 0.369
54 F 0.999 0.166 0.869
55 F 0.499 0.166 0.631
56 F 0.001 0.834 0.131

Entry 4:
The following is a DFT calculation (PBEsol) of Li2Mn3F8 after structural relaxation.

Values from the calculation:
- DFT total energy: -6.18 eV per atom
- Spin magnetization: 60.0 Bohr magnetons per cell
- Energy above the most stable polymorph in this dataset: 9 meV/atom
- Raw formation energy: -2.44 eV per atom

abc: 8.586 8.586 8.586
angles: 90.00 90.00 90.00
Atoms (fractional coordinates):
1 Li 0.976 0.976 0.976
2 Li 0.024 0.476 0.524
3 Li 0.274 0.274 0.274
4 Li 0.226 0.726 0.774
5 Li 0.524 0.024 0.476
6 Li 0.476 0.524 0.024
7 Li 0.774 0.226 0.726
8 Li 0.726 0.774 0.226
9 Mn 0.161 0.089 0.625
10 Mn 0.089 0.625 0.161
11 Mn 0.125 0.339 0.911
12 Mn 0.411 0.375 0.661
13 Mn 0.375 0.661 0.411
14 Mn 0.339 0.911 0.125
15 Mn 0.625 0.161 0.089
16 Mn 0.661 0.411 0.375
17 Mn 0.589 0.875 0.839
18 Mn 0.911 0.125 0.339
19 Mn 0.839 0.589 0.875
20 Mn 0.875 0.839 0.589
21 F 0.144 0.138 0.385
22 F 0.138 0.385 0.144
23 F 0.112 0.106 0.865
24 F 0.106 0.865 0.112
25 F 0.154 0.346 0.654
26 F 0.135 0.612 0.394
27 F 0.096 0.596 0.904
28 F 0.115 0.856 0.638
29 F 0.385 0.144 0.138
30 F 0.394 0.135 0.612
31 F 0.404 0.404 0.404
32 F 0.365 0.388 0.894
33 F 0.346 0.654 0.154
34 F 0.388 0.894 0.365
35 F 0.362 0.615 0.644
36 F 0.356 0.862 0.885
37 F 0.654 0.154 0.346
38 F 0.612 0.394 0.135
39 F 0.644 0.362 0.615
40 F 0.615 0.644 0.362
41 F 0.638 0.115 0.856
42 F 0.606 0.635 0.888
43 F 0.596 0.904 0.096
44 F 0.635 0.888 0.606
45 F 0.865 0.112 0.106
46 F 0.904 0.096 0.596
47 F 0.894 0.365 0.388
48 F 0.856 0.638 0.115
49 F 0.888 0.606 0.635
50 F 0.885 0.356 0.862
51 F 0.862 0.885 0.356
52 F 0.846 0.846 0.846

Entry 5:
The following is a DFT calculation (PBEsol) of ReTeRh2 after structural relaxation.

Values from the calculation:
- DFT total energy: -8.04 eV per atom
- Spin magnetization: 0.0 Bohr magnetons per cell
- Raw formation energy: 0.25 eV per atom

abc: 2.861 4.440 4.892
angles: 90.00 90.00 90.00
Atoms (fractional coordinates):
1 Re 0.500 0.500 0.190
2 Rh 0.000 0.000 0.048
3 Rh 0.000 0.500 0.726
4 Te 0.500 0.000 0.537

Entry 6:
The following is a DFT calculation (PBEsol) of HfCuBr2N after structural relaxation.

Values from the calculation:
- DFT total energy: -4.49 eV per atom
- Spin magnetization: 2.9 Bohr magnetons per cell
- Raw formation energy: 0.93 eV per atom

abc: 5.144 5.144 5.046
angles: 90.00 90.00 90.00
Atoms (fractional coordinates):
1 Hf 0.000 0.000 0.000
2 Cu 0.000 0.000 0.500
3 Br 0.000 0.500 0.000
4 Br 0.500 0.000 0.000
5 N 0.500 0.500 0.500